Below is a relaxed Nd2InSe crystal, with properties calculated at the PBE-GGA level.

Cell and atoms, written as extended XYZ:
```
12
Lattice="4.139 0.000 0.000 -2.070 3.585 0.000 0.000 0.000 24.018" Properties=species:S:1:pos:R:3 pbc="T T T"
Nd 0.000 0.000 5.803
Nd 0.000 0.000 18.215
Nd 0.000 2.390 10.209
Nd 0.000 2.390 21.814
Nd 2.070 1.195 2.203
Nd 2.070 1.195 13.809
In 0.000 0.000 0.000
In 0.000 2.390 16.012
In 2.070 1.195 8.006
Se 0.000 0.000 12.009
Se 0.000 2.390 4.003
Se 2.070 1.195 20.015
```

Values from the calculation:
E_form (uncorrected)	-1.112	eV/atom